LiNiSe | Alexandria | GGA-PBE | relaxed; raw total energy = -25.67 eV per cell; polymorph energy (0 for the lowest one) = 1.410 kcal/mol of atoms; crystal system = trigonal
1.0
2.029 1.171 6.533
-2.029 1.171 6.533
0.000 -2.342 6.533
Li Ni Se
2 2 2
Cartesian
0.000 0.000 2.456 Li
0.000 0.000 17.141 Li
0.000 0.000 7.163 Ni
0.000 0.000 12.434 Ni
0.000 0.000 0.000 Se
0.000 0.000 9.799 Se

Li2NiSe2 | Alexandria | GGA-PBE | relaxed; raw total energy = -39.63 eV per cell; crystal system = tetragonal
1.0
6.500 0.000 0.000
0.000 6.500 0.000
0.000 0.000 3.979
Li Ni Se
4 2 4
Cartesian
0.974 2.276 0.000 Li
2.276 5.526 0.000 Li
4.225 0.974 0.000 Li
5.526 4.225 0.000 Li
0.000 0.000 1.990 Ni
3.250 3.250 1.990 Ni
1.103 4.353 1.990 Se
2.148 1.103 1.990 Se
4.353 5.398 1.990 Se
5.398 2.148 1.990 Se

LiNiSe | Alexandria | GGA-PBE | relaxed; raw total energy = -25.57 eV per cell; polymorph energy (0 for the lowest one) = 1.778 kcal/mol of atoms; crystal system = monoclinic
1.0
3.913 -1.825 0.000
3.913 1.825 0.000
-2.990 0.000 6.833
Li Ni Se
2 2 2
Cartesian
0.000 0.000 0.000 Li
3.419 0.000 2.827 Li
1.174 0.000 2.586 Ni
5.597 0.000 4.221 Ni
0.190 0.000 4.728 Se
5.512 0.000 1.233 Se

LiNi3Se | Alexandria | GGA-PBE | relaxed; raw total energy = -21.67 eV per cell; polymorph energy (0 for the lowest one) = 0.000 kcal/mol of atoms; crystal system = cubic
1.0
4.362 0.000 0.000
0.000 4.362 0.000
0.000 0.000 4.362
Li Ni Se
1 3 1
Cartesian
0.000 0.000 0.000 Li
0.000 2.181 2.181 Ni
2.181 0.000 2.181 Ni
2.181 2.181 0.000 Ni
2.181 2.181 2.181 Se

LiNi2Se2 | Alexandria | GGA-PBE | relaxed; raw total energy = -43.16 eV per cell; crystal system = tetragonal
1.0
6.883 0.000 0.000
0.000 6.883 0.000
0.000 0.000 3.190
Li Ni Se
2 4 4
Cartesian
0.000 0.000 0.000 Li
3.441 3.441 0.000 Li
0.910 2.531 1.595 Ni
2.531 5.972 1.595 Ni
4.352 0.910 1.595 Ni
5.972 4.352 1.595 Ni
1.161 4.602 0.000 Se
2.281 1.161 0.000 Se
4.602 5.722 0.000 Se
5.722 2.281 0.000 Se

LiNi2Se2 | Alexandria | GGA-PBE | relaxed; raw total energy = -21.85 eV per cell; crystal system = tetragonal
1.0
-2.293 2.293 4.004
2.293 -2.293 4.004
2.293 2.293 -4.004
Li Ni Se
1 2 2
Cartesian
0.000 0.000 0.000 Li
0.000 0.000 2.730 Ni
0.000 0.000 5.279 Ni
2.293 0.000 2.002 Se
0.000 2.293 2.002 Se

LiNi2Se2 | Alexandria | GGA-PBE | relaxed; raw total energy = -22.46 eV per cell; crystal system = tetragonal
1.0
-1.891 1.891 6.016
1.891 -1.891 6.016
1.891 1.891 -6.016
Li Ni Se
1 2 2
Cartesian
0.000 0.000 0.000 Li
1.891 0.000 3.008 Ni
0.000 1.891 3.008 Ni
0.000 0.000 4.447 Se
0.000 0.000 7.584 Se

LiNi5Se8 | Alexandria | GGA-PBE | relaxed; raw total energy = -63.56 eV per cell; crystal system = cubic
1.0
0.000 5.054 5.054
5.054 0.000 5.054
5.054 5.054 0.000
Li Ni Se
1 5 8
Cartesian
0.000 0.000 0.000 Li
6.326 3.783 3.783 Ni
2.527 2.527 2.527 Ni
3.783 6.326 3.783 Ni
3.783 3.783 6.326 Ni
6.326 6.326 6.326 Ni
3.890 3.890 3.890 Se
6.219 6.219 3.890 Se
6.219 3.890 6.219 Se
8.714 6.449 6.449 Se
3.890 6.219 6.219 Se
6.449 8.714 6.449 Se
6.449 6.449 8.714 Se
8.714 8.714 8.714 Se